No. 1
The following is a GGA-PBE calculation of crystalline TbPrHo2S6 at its relaxed geometry, from the Alexandria database.

The structure belongs to space group R3 (No. 146, hexagonal axes); the cell edges are 6.9934, 6.9934 and 18.5509 Å and the angles 90.00°, 90.00° and 120.00°. The distinct sites, in fractional coordinates, are Tb at (0.0000, 0.0000, 0.0000), Pr at (0.0000, 0.0000, 0.5062), Ho at (0.0000, 0.0000, 0.3008), Ho at (0.0000, 0.0000, 0.7972), S at (0.0079, 0.3072, 0.3967) and S at (0.0250, 0.7192, 0.8972).

The mass density is 5212 kg/m3. The total magnetization comes out at 0.00 μB/cell. The calculation puts the raw formation energy at -2.045 eV/atom.



No. 2
The following is a GGA-PBE calculation of crystalline Ca3LaPt2 at its relaxed geometry, from the Alexandria database.

The structure belongs to space group Pmc2_1 (No. 26); the cell edges are 4.5779, 9.3370 and 7.6327 Å and the angles 90.00°, 90.00° and 90.00°. The distinct sites, in fractional coordinates, are Ca at (0.0000, 0.0854, 0.0000), Ca at (0.0000, 0.3116, 0.3825), Ca at (0.5000, 0.1727, 0.6663), La at (0.5000, 0.4152, 0.0421), Pt at (0.0000, 0.3721, 0.7753) and Pt at (0.5000, 0.1446, 0.2590).

The value obtained for the formation energy is -0.786 eV per atom. The mass density is 6610 kg/m3. The total magnetization comes out at 0.00 μB/cell.